# 1
PRhPb2 (PBE, relaxed); formation enthalpy at 0 K = -7 kJ/mol of atoms
1.0
-1.804 2.077 6.512
1.804 -2.077 6.512
1.804 2.077 -6.512
Pb P Rh
2 1 1
direct
0.260 0.760 0.500
0.983 0.983 0.000
0.681 0.181 0.500
0.575 0.575 0.000



# 2
Ca2BeGa (PBE, relaxed); polymorph energy (0 for the lowest one) = 0.00 eV/f.u.; formation enthalpy at 0 K = -1 kJ/mol of atoms
1.0
-3.451 -3.198 -1.939
-4.832 0.205 1.583
-3.625 1.751 -3.113
Ca Ga Be
2 1 1
direct
0.750 0.750 0.750
0.250 0.250 0.250
0.500 0.500 0.500
0.000 0.000 0.000



# 3
Hf2Ga3Au2 (PBE, relaxed); formation enthalpy at 0 K = -21 kJ/mol of atoms
1.0
-6.785 -2.687 -1.534
2.088 -6.210 1.641
-0.829 1.107 5.243
Hf Ga Au
4 6 4
direct
0.163 0.382 0.139
0.837 0.618 0.861
0.337 0.882 0.861
0.663 0.118 0.139
0.000 0.000 0.000
0.338 0.051 0.345
0.838 0.449 0.345
0.662 0.949 0.655
0.162 0.551 0.655
0.500 0.500 0.000
0.409 0.681 0.390
0.591 0.319 0.610
0.909 0.819 0.390
0.091 0.181 0.610



# 4
La4AlSi (PBE, relaxed); polymorph energy (0 for the lowest one) = 4.18 eV/f.u.; formation energy without anion corrections = 0.363 eV/atom
1.0
0.000 4.483 4.483
4.483 0.000 4.483
4.483 4.483 0.000
La Al Si
4 1 1
direct
0.874 0.375 0.375
0.375 0.874 0.375
0.375 0.375 0.874
0.375 0.375 0.375
0.000 0.000 0.000
0.750 0.750 0.750



# 5
NdNp2UP4 (PBE, relaxed); formation enthalpy at 0 K = -97 kJ/mol of atoms
1.0
5.651 0.003 0.000
-0.003 5.651 0.000
-2.824 -2.827 5.657
Np P Nd U
2 4 1 1
direct
0.000 0.000 0.000
0.250 0.750 0.500
0.997 0.497 0.995
0.503 0.003 0.005
0.756 0.756 0.512
0.244 0.244 0.488
0.500 0.500 0.000
0.750 0.250 0.500



# 6
ZrAg3Ir (PBE, relaxed); polymorph energy (0 for the lowest one) = 4.06 eV/f.u.; formation enthalpy at 0 K = 195 kJ/mol of atoms
1.0
5.043 0.000 0.000
0.000 5.043 0.000
0.000 0.000 5.043
Ag Zr Ir
3 1 1
direct
0.500 0.000 0.000
0.000 0.000 0.500
0.000 0.500 0.000
0.000 0.000 0.000
0.500 0.500 0.500



# 7
Ho8Co2Au (PBE, relaxed); formation enthalpy at 0 K = -17 kJ/mol of atoms
1.0
-4.444 -0.635 -3.057
5.224 -1.042 -5.443
-0.899 -6.077 4.502
Co Ho Au
2 8 1
direct
0.000 0.695 0.305
0.000 0.305 0.695
0.500 0.238 0.762
0.500 0.762 0.238
0.692 0.376 0.376
0.308 0.624 0.624
0.085 0.332 0.070
0.085 0.070 0.332
0.915 0.668 0.930
0.915 0.930 0.668
0.500 0.000 0.000



# 8
Pu5Si5Ge2 (PBE, relaxed); formation energy without anion corrections = -0.348 eV/atom
1.0
0.011 -1.883 3.619
4.261 -6.154 -0.916
6.581 3.738 4.225
Pu Si Ge
5 5 2
direct
0.683 0.947 0.687
0.594 0.720 0.091
0.317 0.053 0.313
0.500 0.500 0.500
0.406 0.280 0.909
0.070 0.232 0.628
0.930 0.768 0.372
0.231 0.706 0.833
0.769 0.294 0.167
0.000 0.000 0.000
0.149 0.468 0.234
0.851 0.532 0.766



# 9
TcHgOs2 (PBE, relaxed); formation enthalpy at 0 K = 79 kJ/mol of atoms
1.0
4.855 0.018 0.000
-1.651 4.566 0.000
0.000 0.000 2.828
Tc Os Hg
1 2 1
direct
0.500 0.000 0.500
0.000 0.000 0.000
0.500 0.500 0.000
0.000 0.500 0.500



# 10
Ti2BeHg (PBE, relaxed); polymorph energy (0 for the lowest one) = 0.00 eV/f.u.; formation enthalpy at 0 K = -3 kJ/mol of atoms
1.0
2.850 0.000 0.000
0.000 2.850 0.000
0.000 0.000 7.778
Ti Hg Be
2 1 1
direct
0.000 0.000 0.796
0.000 0.000 0.204
0.500 0.500 0.500
0.500 0.500 0.000



# 11
Pm2HgI (PBE, relaxed); polymorph energy (0 for the lowest one) = 0.05 eV/f.u.; formation energy without anion corrections = -0.622 eV/atom
1.0
4.373 0.000 0.000
2.186 3.787 0.000
2.186 1.262 7.727
Pm Hg I
2 1 1
direct
0.743 0.743 0.772
0.257 0.257 0.228
0.000 0.000 0.000
0.500 0.500 0.500



# 12
La6YMg (PBE, relaxed); polymorph energy (0 for the lowest one) = 0.00 eV/f.u.; formation enthalpy at 0 K = -1 kJ/mol of atoms
1.0
-5.101 -0.831 -0.254
0.109 -2.113 4.722
-1.728 9.318 4.209
La Mg Y
6 1 1
direct
0.500 0.000 0.752
0.000 0.500 0.752
0.000 0.500 0.248
0.500 0.000 0.248
0.500 0.500 0.500
0.500 0.500 0.000
0.000 0.000 0.000
0.000 0.000 0.500



# 13
MgNi6P2 (PBE, relaxed); formation enthalpy at 0 K = -25 kJ/mol of atoms
1.0
2.939 0.007 0.957
1.320 6.098 0.872
-0.398 -1.035 6.201
Ni P Mg
6 2 1
direct
0.500 0.701 0.299
0.747 0.611 0.895
0.253 0.389 0.105
0.253 0.105 0.389
0.500 0.299 0.701
0.747 0.895 0.611
0.656 0.344 0.344
0.344 0.656 0.656
0.000 0.000 0.000



# 14
CoAgSeN2 (PBE, relaxed); polymorph energy (0 for the lowest one) = 0.00 eV/f.u.; formation energy without anion corrections = 0.994 eV/atom
1.0
-3.246 -1.427 0.752
1.496 -2.034 2.600
-0.929 4.075 3.722
Se N Co Ag
1 2 1 1
direct
0.000 0.000 0.500
0.000 0.500 0.000
0.500 0.000 0.000
0.000 0.000 0.000
0.500 0.500 0.500



# 15
KCr2Pb (PBE, relaxed); formation enthalpy at 0 K = 74 kJ/mol of atoms
1.0
-3.943 -5.068 -0.252
1.119 -4.650 -4.291
1.711 3.420 5.164
K Cr Pb
1 2 1
direct
0.509 0.509 0.000
0.801 0.301 0.500
0.975 0.975 0.000
0.215 0.715 0.500



# 16
SrMnZnGa2 (PBE, relaxed); formation enthalpy at 0 K = -19 kJ/mol of atoms
1.0
-1.628 -2.594 3.542
4.308 -0.217 1.821
-0.867 3.997 2.528
Zn Mn Ga Sr
1 1 2 1
direct
0.000 0.000 0.500
0.000 0.000 0.000
0.000 0.500 0.000
0.500 0.000 0.000
0.500 0.500 0.500



# 17
TiNbTc (PBE, relaxed); polymorph energy (0 for the lowest one) = 1.67 eV/f.u.; formation enthalpy at 0 K = 20 kJ/mol of atoms
1.0
-1.124 3.728 1.881
-1.870 -1.193 -3.712
-1.153 -3.760 1.798
Tc Ti Nb
1 1 1
direct
0.444 0.222 0.667
0.945 0.472 0.417
0.944 0.972 0.917



# 18
RbCr2S4 (PBE, relaxed); polymorph energy (0 for the lowest one) = 0.44 eV/f.u.; formation energy without anion corrections = -0.774 eV/atom
1.0
3.451 0.000 0.000
0.000 13.629 0.000
0.000 0.000 14.303
S Rb Cr
16 4 8
direct
0.250 0.904 0.417
0.250 0.793 0.031
0.750 0.096 0.583
0.750 0.501 0.404
0.750 0.001 0.096
0.750 0.798 0.824
0.750 0.207 0.969
0.250 0.202 0.176
0.750 0.707 0.531
0.750 0.596 0.917
0.250 0.702 0.324
0.750 0.298 0.676
0.250 0.999 0.904
0.250 0.499 0.596
0.250 0.404 0.083
0.250 0.293 0.469
0.750 0.601 0.150
0.250 0.899 0.650
0.750 0.101 0.350
0.250 0.399 0.850
0.250 0.707 0.899
0.750 0.293 0.101
0.750 0.397 0.537
0.250 0.207 0.601
0.750 0.793 0.399
0.250 0.103 0.037
0.750 0.897 0.963
0.250 0.603 0.463



# 19
NbSbRuO6 (PBE, relaxed); formation energy without anion corrections = -1.457 eV/atom
1.0
5.318 0.000 0.000
-2.659 4.605 0.000
0.000 0.000 8.668
O Ru Nb Sb
12 2 2 2
direct
0.661 0.665 0.629
0.339 0.335 0.371
0.335 0.996 0.629
0.339 0.004 0.129
0.996 0.335 0.129
0.004 0.339 0.629
0.996 0.661 0.371
0.335 0.339 0.871
0.665 0.661 0.129
0.004 0.665 0.871
0.665 0.004 0.371
0.661 0.996 0.871
0.000 0.000 0.000
0.000 0.000 0.500
0.667 0.333 0.250
0.333 0.667 0.750
0.667 0.333 0.750
0.333 0.667 0.250



# 20
LiSbSeI2 (PBE, relaxed); polymorph energy (0 for the lowest one) = 0.63 eV/f.u.; formation energy without anion corrections = 0.272 eV/atom
1.0
-2.307 -0.986 4.395
-4.221 -1.252 -2.496
1.795 -5.479 -0.287
Li Se I Sb
1 1 2 1
direct
0.000 0.000 0.000
0.500 0.500 0.500
0.500 0.000 0.000
0.000 0.500 0.000
0.000 0.000 0.500